# 1
Pm6DyYEr2: optimized geometry, PBE.

Summary:
* crystal system: monoclinic
* energy of formation: 1.15 eV/f.u.
* total DFT energy (no corrections): -190.182 eV for the cell shown
* N(E_F): 57.05 states/eV/cell
* density: 7.206 g/cm³

Cell lengths 9.1947, 15.2850, 9.6281 Å; angles 90.00, 97.36, 90.00 degrees
Space group C2/c (No. 15)
Asymmetric unit:
Pm: 0.0607 0.1796 0.4462
Pm: 0.1009 0.3922 0.6191
Pm: 0.2111 0.2245 0.8139
Dy: 0.0000 0.4102 0.2500
Y: 0.0000 0.0266 0.7500
Er: 0.2503 0.0507 0.0452

=====

# 2
RbAs2RuN: optimized geometry, PBE.

Summary:
* energy relative to the elements, uncorrected: 46.3 kJ/mol of atoms
* crystal system: tetragonal
* total DFT energy (no corrections): -25.471 eV for the cell shown
* N(E_F): 4.38 states/eV/cell
* relative energy among the computed polymorphs: 0 meV/atom
* density: 5.474 g/cm³

Cell lengths 5.3446, 5.3446, 3.7209 Å; angles 90.00, 90.00, 90.00 degrees
Space group P4/mmm (No. 123)
Asymmetric unit:
Rb: 0.0000 0.0000 0.0000
As: 0.0000 0.5000 0.5000
Ru: 0.5000 0.5000 0.5000
N: 0.5000 0.5000 0.0000